No. 1
Compound: La2PmHoHg2
Source: the Alexandria database
Functional: PBE-GGA
Structure: optimized geometry

```
data_La2PmHoHg2
_cell_length_a 5.1945
_cell_length_b 9.6643
_cell_length_c 7.3046
_cell_angle_alpha 90.00
_cell_angle_beta 90.00
_cell_angle_gamma 90.00
_symmetry_space_group_name_H-M 'P m c 21'
_symmetry_Int_Tables_number 26
_symmetry_space_group_name_Hall 'P 2c -2'
loop_
_atom_site_label
_atom_site_type_symbol
_atom_site_fract_x
_atom_site_fract_y
_atom_site_fract_z
La1 La 0.0000 0.0577 0.0000
La2 La 0.5000 0.1709 0.3137
Pm1 Pm 0.5000 0.4436 0.9725
Ho1 Ho 0.0000 0.3269 0.6536
Hg1 Hg 0.0000 0.3653 0.2317
Hg2 Hg 0.5000 0.1613 0.7476
```

Summary:
The value obtained for the total energy is -3.636 eV per atom. For the calculated density, the calculation gives 9.0 g/cm3.

No. 2
Compound: LaPmHo2Hg4
Source: the Alexandria database
Functional: PBE-GGA
Structure: optimized geometry

```
data_LaPmHo2Hg4
_cell_length_a 5.3558
_cell_length_b 5.3558
_cell_length_c 26.3009
_cell_angle_alpha 90.00
_cell_angle_beta 90.00
_cell_angle_gamma 120.00
_symmetry_space_group_name_H-M 'R -3 m'
_symmetry_Int_Tables_number 166
_symmetry_space_group_name_Hall '-R 3 2"'
loop_
_atom_site_label
_atom_site_type_symbol
_atom_site_fract_x
_atom_site_fract_y
_atom_site_fract_z
La1 La 0.0000 0.0000 0.0000
Pm1 Pm 0.0000 0.0000 0.5000
Ho1 Ho 0.0000 0.0000 0.2493
Hg1 Hg 0.0000 0.0000 0.1265
Hg2 Hg 0.0000 0.0000 0.3769
```

Summary:
The value obtained for the total energy is -2.974 eV per atom. For the calculated density, the calculation gives 10.8 g/cm3.

No. 3
Compound: LaPmHoHg
Source: the Alexandria database
Functional: PBE-GGA
Structure: optimized geometry

```
data_LaPmHoHg
_cell_length_a 7.8290
_cell_length_b 7.8290
_cell_length_c 7.8290
_cell_angle_alpha 90.00
_cell_angle_beta 90.00
_cell_angle_gamma 90.00
_symmetry_space_group_name_H-M 'F -4 3 m'
_symmetry_Int_Tables_number 216
_symmetry_space_group_name_Hall 'F -4 2 3'
loop_
_atom_site_label
_atom_site_type_symbol
_atom_site_fract_x
_atom_site_fract_y
_atom_site_fract_z
La1 La 0.0000 0.0000 0.0000
Pm1 Pm 0.2500 0.2500 0.7500
Ho1 Ho 0.0000 0.0000 0.5000
Hg1 Hg 0.2500 0.2500 0.2500
```

Summary:
As for the excess energy over the best structure of this formula in the dataset: 70 kJ/mol of formula units. For the calculated density, the calculation gives 9.0 g/cm3.

No. 4
Compound: LaPr2HoHg4
Source: the Alexandria database
Functional: PBE-GGA
Structure: optimized geometry

```
data_LaPr2HoHg4
_cell_length_a 5.4135
_cell_length_b 5.4135
_cell_length_c 26.7504
_cell_angle_alpha 90.00
_cell_angle_beta 90.00
_cell_angle_gamma 120.00
_symmetry_space_group_name_H-M 'R -3 m'
_symmetry_Int_Tables_number 166
_symmetry_space_group_name_Hall '-R 3 2"'
loop_
_atom_site_label
_atom_site_type_symbol
_atom_site_fract_x
_atom_site_fract_y
_atom_site_fract_z
La1 La 0.0000 0.0000 0.0000
Pr1 Pr 0.0000 0.0000 0.2494
Ho1 Ho 0.0000 0.0000 0.5000
Hg1 Hg 0.0000 0.0000 0.1277
Hg2 Hg 0.0000 0.0000 0.3789
```

Summary:
The value obtained for the total energy is -3.003 eV per atom. For the calculated density, the calculation gives 10.2 g/cm3.

No. 5
Compound: LaPrHoHg
Source: the Alexandria database
Functional: PBE-GGA
Structure: optimized geometry

```
data_LaPrHoHg
_cell_length_a 7.8968
_cell_length_b 7.8968
_cell_length_c 7.8968
_cell_angle_alpha 90.00
_cell_angle_beta 90.00
_cell_angle_gamma 90.00
_symmetry_space_group_name_H-M 'F -4 3 m'
_symmetry_Int_Tables_number 216
_symmetry_space_group_name_Hall 'F -4 2 3'
loop_
_atom_site_label
_atom_site_type_symbol
_atom_site_fract_x
_atom_site_fract_y
_atom_site_fract_z
La1 La 0.0000 0.0000 0.0000
Pr1 Pr 0.0000 0.0000 0.5000
Ho1 Ho 0.2500 0.2500 0.7500
Hg1 Hg 0.2500 0.2500 0.2500
```

Summary:
As for the excess energy over the best structure of this formula in the dataset: 54 kJ/mol of formula units. For the calculated density, the calculation gives 8.7 g/cm3.

No. 6
Compound: La2Pr2HoHg5
Source: the Alexandria database
Functional: PBE-GGA
Structure: optimized geometry

```
data_La2Pr2HoHg5
_cell_length_a 12.3766
_cell_length_b 12.3766
_cell_length_c 3.9524
_cell_angle_alpha 90.00
_cell_angle_beta 90.00
_cell_angle_gamma 90.00
_symmetry_space_group_name_H-M 'P 4/m b m'
_symmetry_Int_Tables_number 127
_symmetry_space_group_name_Hall '-P 4 2ab'
loop_
_atom_site_label
_atom_site_type_symbol
_atom_site_fract_x
_atom_site_fract_y
_atom_site_fract_z
La1 La 0.1587 0.3413 0.0000
Pr1 Pr 0.1460 0.6460 0.0000
Ho1 Ho 0.0000 0.0000 0.0000
Hg1 Hg 0.0000 0.5000 0.5000
Hg2 Hg 0.1220 0.8535 0.5000
```

Summary:
The value obtained for the total energy is -2.884 eV per atom. For the calculated density, the calculation gives 9.5 g/cm3.

No. 7
Compound: LaPrHoHg
Source: the Alexandria database
Functional: PBE-GGA
Structure: optimized geometry

```
data_LaPrHoHg
_cell_length_a 3.7330
_cell_length_b 3.7330
_cell_length_c 8.9195
_cell_angle_alpha 90.00
_cell_angle_beta 90.00
_cell_angle_gamma 90.00
_symmetry_space_group_name_H-M 'P 4 m m'
_symmetry_Int_Tables_number 99
_symmetry_space_group_name_Hall 'P 4 -2'
loop_
_atom_site_label
_atom_site_type_symbol
_atom_site_fract_x
_atom_site_fract_y
_atom_site_fract_z
La1 La 0.0000 0.0000 0.0000
Pr1 Pr 0.5000 0.5000 0.7089
Ho1 Ho 0.5000 0.5000 0.2772
Hg1 Hg 0.0000 0.0000 0.4716
```

Summary:
As for the excess energy over the best structure of this formula in the dataset: 0 kJ/mol of formula units. For the calculated density, the calculation gives 8.6 g/cm3.

No. 8
Compound: LaHoHgPt
Source: the Alexandria database
Functional: PBE-GGA
Structure: optimized geometry

```
data_LaHoHgPt
_cell_length_a 7.3796
_cell_length_b 7.3796
_cell_length_c 7.3796
_cell_angle_alpha 90.00
_cell_angle_beta 90.00
_cell_angle_gamma 90.00
_symmetry_space_group_name_H-M 'F -4 3 m'
_symmetry_Int_Tables_number 216
_symmetry_space_group_name_Hall 'F -4 2 3'
loop_
_atom_site_label
_atom_site_type_symbol
_atom_site_fract_x
_atom_site_fract_y
_atom_site_fract_z
La1 La 0.0000 0.0000 0.0000
Ho1 Ho 0.0000 0.0000 0.5000
Hg1 Hg 0.2500 0.2500 0.2500
Pt1 Pt 0.2500 0.2500 0.7500
```

Summary:
The value obtained for the total energy is -4.715 eV per atom. For the calculated density, the calculation gives 11.6 g/cm3.

No. 9
Compound: LaHoHgRh
Source: the Alexandria database
Functional: PBE-GGA
Structure: optimized geometry

```
data_LaHoHgRh
_cell_length_a 7.3231
_cell_length_b 7.3231
_cell_length_c 7.3231
_cell_angle_alpha 90.00
_cell_angle_beta 90.00
_cell_angle_gamma 90.00
_symmetry_space_group_name_H-M 'F -4 3 m'
_symmetry_Int_Tables_number 216
_symmetry_space_group_name_Hall 'F -4 2 3'
loop_
_atom_site_label
_atom_site_type_symbol
_atom_site_fract_x
_atom_site_fract_y
_atom_site_fract_z
La1 La 0.0000 0.0000 0.0000
Ho1 Ho 0.0000 0.0000 0.5000
Hg1 Hg 0.2500 0.2500 0.2500
Rh1 Rh 0.2500 0.2500 0.7500
```

Summary:
The value obtained for the total energy is -4.842 eV per atom. For the calculated density, the calculation gives 10.3 g/cm3.

No. 10
Compound: LaHoHgRu
Source: the Alexandria database
Functional: PBE-GGA
Structure: optimized geometry

```
data_LaHoHgRu
_cell_length_a 7.2805
_cell_length_b 7.2805
_cell_length_c 7.2805
_cell_angle_alpha 90.00
_cell_angle_beta 90.00
_cell_angle_gamma 90.00
_symmetry_space_group_name_H-M 'F -4 3 m'
_symmetry_Int_Tables_number 216
_symmetry_space_group_name_Hall 'F -4 2 3'
loop_
_atom_site_label
_atom_site_type_symbol
_atom_site_fract_x
_atom_site_fract_y
_atom_site_fract_z
La1 La 0.0000 0.0000 0.0000
Ho1 Ho 0.0000 0.0000 0.5000
Hg1 Hg 0.2500 0.2500 0.2500
Ru1 Ru 0.2500 0.2500 0.7500
```

Summary:
As for the excess energy over the best structure of this formula in the dataset: 46 kJ/mol of formula units. For the calculated density, the calculation gives 10.4 g/cm3.

No. 11
Compound: LaHoHgRu
Source: the Alexandria database
Functional: PBE-GGA
Structure: optimized geometry

```
data_LaHoHgRu
_cell_length_a 3.5309
_cell_length_b 3.5309
_cell_length_c 7.7677
_cell_angle_alpha 90.00
_cell_angle_beta 90.00
_cell_angle_gamma 90.00
_symmetry_space_group_name_H-M 'P 4 m m'
_symmetry_Int_Tables_number 99
_symmetry_space_group_name_Hall 'P 4 -2'
loop_
_atom_site_label
_atom_site_type_symbol
_atom_site_fract_x
_atom_site_fract_y
_atom_site_fract_z
La1 La 0.0000 0.0000 0.0000
Ho1 Ho 0.0000 0.0000 0.5606
Hg1 Hg 0.5000 0.5000 0.3051
Ru1 Ru 0.5000 0.5000 0.7646
```

Summary:
As for the excess energy over the best structure of this formula in the dataset: 0 kJ/mol of formula units. For the calculated density, the calculation gives 10.4 g/cm3.

No. 12
Compound: LaSm2HoHg4
Source: the Alexandria database
Functional: PBE-GGA
Structure: optimized geometry

```
data_LaSm2HoHg4
_cell_length_a 5.3597
_cell_length_b 5.3597
_cell_length_c 26.5574
_cell_angle_alpha 90.00
_cell_angle_beta 90.00
_cell_angle_gamma 120.00
_symmetry_space_group_name_H-M 'R -3 m'
_symmetry_Int_Tables_number 166
_symmetry_space_group_name_Hall '-R 3 2"'
loop_
_atom_site_label
_atom_site_type_symbol
_atom_site_fract_x
_atom_site_fract_y
_atom_site_fract_z
La1 La 0.0000 0.0000 0.0000
Sm1 Sm 0.0000 0.0000 0.2492
Ho1 Ho 0.0000 0.0000 0.5000
Hg1 Hg 0.0000 0.0000 0.1278
Hg2 Hg 0.0000 0.0000 0.3794
```

Summary:
The value obtained for the total energy is -2.990 eV per atom. For the calculated density, the calculation gives 10.6 g/cm3.